(1)
A plane-wave DFT calculation with PBE was carried out for a relaxed structure of UAgPd14.

Output
The space group is No. 123. Its calculated formation energy is -0.20 eV/atom.

Unit cell a=5.7724 b=5.7724 c=7.7002 alpha=90.00 beta=90.00 gamma=90.00
With the nearest neighbours (Å) after each atom.
Fractional positions:
Pd  0.6211  0.6211  0.7488  1 U 2.78, 10 Pd 2.79-2.93, 1 Ag 2.82
Pd  0.1289  0.6211  0.2512  1 U 2.78, 10 Pd 2.79-2.93, 1 Ag 2.82
Ag  0.8750  0.8750  0.5000  12 Pd 2.82-2.89
Pd  0.6211  0.6211  0.2512  1 U 2.78, 10 Pd 2.79-2.93, 1 Ag 2.82
U  0.3750  0.3750  0.5000  12 Pd 2.78-2.89
Pd  0.1289  0.1289  0.2512  1 U 2.78, 10 Pd 2.79-2.93, 1 Ag 2.82
Pd  0.3750  0.8750  0.5000  8 Pd 2.80, 2 Ag 2.89, 2 U 2.89
Pd  0.1289  0.6211  0.7488  1 U 2.78, 10 Pd 2.79-2.93, 1 Ag 2.82
Pd  0.3750  0.8750  0.0000  12 Pd 2.81-2.89
Pd  0.8750  0.3750  0.5000  8 Pd 2.80, 2 Ag 2.89, 2 U 2.89
Pd  0.3750  0.3750  0.0000  12 Pd 2.79-2.89
Pd  0.6211  0.1289  0.2512  1 U 2.78, 10 Pd 2.79-2.93, 1 Ag 2.82
Pd  0.6211  0.1289  0.7488  1 U 2.78, 10 Pd 2.79-2.93, 1 Ag 2.82
Pd  0.8750  0.3750  0.0000  12 Pd 2.81-2.89
Pd  0.1289  0.1289  0.7488  1 U 2.78, 10 Pd 2.79-2.93, 1 Ag 2.82
Pd  0.8750  0.8750  0.0000  12 Pd 2.83-2.89

---

(2)
A plane-wave DFT calculation with PBE was carried out for a relaxed structure of TbSm4Ho7.

Output
The space group is No. 12. Its calculated formation energy is 0.28 eV/atom. For the excess energy over the best structure of this formula in the dataset, the calculation gives 2.25 eV/f.u.

Unit cell a=5.8825 b=11.5986 c=6.7142 alpha=83.58 beta=64.02 gamma=75.31
With the nearest neighbours (Å) after each atom.
Fractional positions:
Sm  0.2305  0.3280  0.2109  5 Ho 3.28-3.66, 2 Sm 3.61
Sm  0.6388  0.2233  0.4991  7 Ho 3.36-3.66, 2 Sm 3.61
Ho  0.7883  0.9236  0.4997  1 Tb 3.13, 4 Ho 3.14-3.40, 4 Sm 3.32-3.37
Ho  0.0662  0.6840  0.1835  4 Ho 3.27-3.59, 3 Sm 3.66
Ho  0.2117  0.0764  0.5003  1 Tb 3.13, 4 Ho 3.14-3.40, 4 Sm 3.32-3.37
Sm  0.3612  0.7767  0.5009  7 Ho 3.36-3.66, 2 Sm 3.61
Tb  0.0000  0.0000  0.0000  4 Ho 2.94-3.13
Sm  0.7695  0.6720  0.7891  5 Ho 3.28-3.66, 2 Sm 3.61
Ho  0.9338  0.3160  0.8165  4 Ho 3.27-3.59, 3 Sm 3.66
Ho  0.6323  0.5032  0.2323  4 Ho 3.23-3.59, 5 Sm 3.28-3.54
Ho  0.5000  0.0000  0.0000  2 Tb 2.94, 2 Ho 3.14
Ho  0.3677  0.4968  0.7677  4 Ho 3.23-3.59, 5 Sm 3.28-3.54

---

(3)
A plane-wave DFT calculation with PBE was carried out for a relaxed structure of Ga2HgPb.

Output
The space group is No. 160. Its calculated formation energy is 0.13 eV/atom. For the excess energy over the best structure of this formula in the dataset, the calculation gives 0.24 eV/f.u.

Unit cell a=3.8944 b=3.8944 c=8.0990 alpha=76.09 beta=76.09 gamma=60.00
With the nearest neighbours (Å) after each atom.
Fractional positions:
Pb  0.5014  0.5014  0.4959  6 Ga 3.04-3.10
Ga  0.2557  0.2557  0.2330  3 Hg 2.88, 3 Pb 3.04
Hg  0.6663  0.6663  0.0011  6 Ga 2.88
Ga  0.0766  0.0766  0.7701  3 Hg 2.88, 3 Pb 3.10

---

(4)
A plane-wave DFT calculation with PBE was carried out for a relaxed structure of RbSiBO2.

Output
The space group is No. 123. For the formation energy (no corrections), the calculation gives 0.30 eV per atom.

Unit cell a=3.5331 b=8.6708 c=3.5331 alpha=90.00 beta=90.00 gamma=90.00
With the nearest neighbours (Å) after each atom.
Fractional positions:
Rb  0.0000  0.5000  0.0000  4 B 2.50
Si  0.0000  0.0000  0.0000  4 O 1.77
O  0.0000  0.0000  0.5000  2 Si 1.77
O  0.5000  0.0000  0.0000  2 Si 1.77
B  0.5000  0.5000  0.5000  4 Rb 2.50

---

(5)
A plane-wave DFT calculation with PBE was carried out for a relaxed structure of ZnN2Cl4.

Output
The space group is No. 12. For the formation energy (no corrections), the calculation gives 0.65 eV per atom. For the excess energy over the best structure of this formula in the dataset, the calculation gives 1.36 eV/f.u.

Unit cell a=3.9406 b=3.9406 c=15.1539 alpha=83.78 beta=83.78 gamma=49.39
With the nearest neighbours (Å) after each atom.
Fractional positions:
Cl  0.1624  0.1624  0.6265  2 N 1.81
Cl  0.3367  0.3367  0.0916  2 Zn 2.37
Cl  0.8376  0.8376  0.3735  2 N 1.81
N  0.2588  0.2588  0.3458  2 Cl 1.81
N  0.7412  0.7412  0.6542  2 Cl 1.81
Zn  0.0000  0.0000  0.0000  4 Cl 2.37
Cl  0.6633  0.6633  0.9084  2 Zn 2.37

---

(6)
A plane-wave DFT calculation with PBE was carried out for a relaxed structure of Er2TmZn.

Output
The space group is No. 166. Its calculated formation energy is 0.26 eV/atom. For the excess energy over the best structure of this formula in the dataset, the calculation gives 1.67 eV/f.u.

Unit cell a=3.4126 b=3.4126 c=11.7930 alpha=81.68 beta=81.68 gamma=60.00
With the nearest neighbours (Å) after each atom.
Fractional positions:
Tm  0.5000  0.5000  0.5000  6 Er 3.41, 6 Tm 3.41
Er  0.0869  0.0869  0.7392  1 Zn 3.03
Er  0.9131  0.9131  0.2608  1 Zn 3.03
Zn  0.0000  0.0000  0.0000  2 Er 3.03

---

(7)
A plane-wave DFT calculation with PBE was carried out for a relaxed structure of Pm6Cu2Pd.

Output
The space group is No. 71. Its calculated formation energy is -0.23 eV/atom.

Unit cell a=8.5759 b=8.5759 c=8.5759 alpha=108.70 beta=109.87 gamma=109.85
With the nearest neighbours (Å) after each atom.
Fractional positions:
Cu  0.6478  0.0000  0.6478  1 Cu 2.91, 8 Pm 2.98-3.15
Pm  0.1838  0.2553  0.4391  2 Cu 3.04-3.36, 2 Pd 3.04-3.13
Pm  0.4395  0.2651  0.1744  3 Cu 3.12-3.15, 1 Pd 3.13, 1 Pm 3.44
Pm  0.5605  0.7349  0.8256  3 Cu 3.12-3.15, 1 Pd 3.13, 1 Pm 3.44
Pm  0.6963  0.3703  0.6740  3 Cu 2.83-2.98
Cu  0.5000  0.3809  0.8809  1 Cu 2.38
Pm  0.9093  0.7349  0.1744  3 Cu 3.12-3.15, 1 Pd 3.13, 1 Pm 3.44
Cu  0.5000  0.6191  0.1191  1 Cu 2.38
Pm  0.8162  0.7447  0.5609  2 Cu 3.04-3.36, 2 Pd 3.04-3.13
Pm  0.3037  0.6297  0.3260  3 Cu 2.83-2.98
Pm  0.1838  0.7447  0.9286  2 Cu 3.04-3.36, 2 Pd 3.04-3.13
Pd  0.0000  0.0000  0.0000  8 Pm 3.13, 2 Cu 3.47
Pm  0.0907  0.2651  0.8256  3 Cu 3.12-3.15, 1 Pd 3.13, 1 Pm 3.44
Pd  0.0000  0.5000  0.5000  4 Pm 3.04
Pm  0.3037  0.9777  0.6740  3 Cu 2.83-2.98
Pm  0.8162  0.2553  0.0714  2 Cu 3.04-3.36, 2 Pd 3.04-3.13
Pm  0.6963  0.0223  0.3260  3 Cu 2.83-2.98
Cu  0.3522  0.0000  0.3522  1 Cu 2.91, 8 Pm 2.98-3.15

---

(8)
A plane-wave DFT calculation with PBE was carried out for a relaxed structure of Tb3PrY2.

Output
The space group is No. 15. Its calculated formation energy is 0.02 eV/atom. For the excess energy over the best structure of this formula in the dataset, the calculation gives 0.13 eV/f.u.

Unit cell a=7.1785 b=6.2174 c=9.5032 alpha=89.88 beta=112.19 gamma=90.00
With the nearest neighbours (Å) after each atom.
Fractional positions:
Tb  0.7067  0.4159  0.6643  4 Tb 3.56-3.61, 6 Y 3.56-3.59, 2 Pr 3.61
Y  0.7920  0.5835  0.3348  8 Tb 3.56-3.61, 3 Y 3.57-3.59, 1 Pr 3.60
Tb  0.0424  0.0841  0.3357  4 Tb 3.56-3.61, 6 Y 3.56-3.59, 2 Pr 3.61
Y  0.4572  0.9165  0.6652  8 Tb 3.56-3.61, 3 Y 3.57-3.59, 1 Pr 3.60
Tb  0.3759  0.7500  0.0000  4 Pr 3.58-3.60, 4 Tb 3.58-3.61, 4 Y 3.60-3.61
Pr  0.1252  0.2500  0.0000  8 Tb 3.58-3.61, 2 Pr 3.59, 2 Y 3.60
Y  0.2080  0.4165  0.6652  8 Tb 3.56-3.61, 3 Y 3.57-3.59, 1 Pr 3.60
Pr  0.8748  0.7500  0.0000  8 Tb 3.58-3.61, 2 Pr 3.59, 2 Y 3.60
Tb  0.6241  0.2500  0.0000  4 Pr 3.58-3.60, 4 Tb 3.58-3.61, 4 Y 3.60-3.61
Y  0.5428  0.0835  0.3348  8 Tb 3.56-3.61, 3 Y 3.57-3.59, 1 Pr 3.60
Tb  0.2933  0.5841  0.3357  4 Tb 3.56-3.61, 6 Y 3.56-3.59, 2 Pr 3.61
Tb  0.9576  0.9159  0.6643  4 Tb 3.56-3.61, 6 Y 3.56-3.59, 2 Pr 3.61

---

Q: Which formula does entry 6 have?
A: Er2TmZn